Record 1
DFT (PBE) results for a relaxed Mn3Be3Si2 crystal.

extended XYZ file:
```
16
Lattice="-2.716 -1.231 -2.012 3.942 0.202 -2.230 2.345 -10.411 3.202" Properties=species:S:1:pos:R:3 pbc="T T T"
Mn 1.808 -6.323 1.427
Mn 1.763 -5.117 -2.467
Mn 3.415 -8.073 0.328
Mn 0.156 -3.367 -1.367
Mn 1.065 -2.018 -3.420
Mn 2.506 -9.421 2.380
Si 2.050 -4.265 -0.158
Si 1.521 -7.174 -0.881
Si 1.382 -1.301 -1.070
Si 2.189 -10.138 0.030
Be 0.181 -5.343 -0.192
Be 3.390 -6.097 -0.847
Be 0.887 -8.502 0.786
Be -0.741 -1.251 -1.451
Be 2.683 -2.938 -1.826
Be 4.312 -10.189 0.411
```

Properties
ρ: 4.9 g cm⁻³
formation energy from raw total energies: -125 kJ/mol of formula units
crystal system: orthorhombic

Record 2
DFT (PBE) results for a relaxed LaPmIr crystal.

extended XYZ file:
```
3
Lattice="3.597 0.000 0.000 0.000 3.597 0.000 -1.799 -1.799 6.746" Properties=species:S:1:pos:R:3 pbc="T T T"
Pm 1.799 1.799 0.973
Ir 1.799 1.799 6.092
La 0.000 0.000 4.403
```

Properties
ρ: 9.1 g cm⁻³
crystal system: tetragonal
E_form: -0.449 eV per atom

Record 3
DFT (PBE) results for a relaxed RbLa3H crystal.

extended XYZ file:
```
5
Lattice="5.855 0.000 0.000 0.000 5.855 0.000 0.000 0.000 5.855" Properties=species:S:1:pos:R:3 pbc="T T T"
Rb 0.000 0.000 0.000
La 0.000 0.000 2.927
La 0.000 2.927 0.000
La 2.927 0.000 0.000
H 2.927 2.927 2.927
```

Properties
ρ: 4.2 g cm⁻³
total energy: -2.2620 eV per atom
crystal system: cubic

Record 4
DFT (PBE) results for a relaxed AlCu2Tc crystal.

extended XYZ file:
```
4
Lattice="8.596 -0.007 -0.004 8.168 2.678 -0.004 8.168 1.302 2.341" Properties=species:S:1:pos:R:3 pbc="T T T"
Tc 12.472 1.988 1.167
Al 18.648 2.972 1.745
Cu 24.926 3.972 2.332
Cu 6.281 1.001 0.588
```

Properties
ρ: 7.7 g cm⁻³
crystal system: trigonal
E_form: 0.006 eV per atom

Number 1: N(E_F) 3.9 states/eV/f.u.. Number 2: N(E_F) 2.9 states/eV/f.u.. Number 3: N(E_F) 7.6 states/eV/f.u.. Number 4: N(E_F) 0.8 states/eV/f.u..